Entry 1:
Here is a geometry-optimized Sm6TlIr2 structure from Alexandria. Energies are from GGA-PBE.

extended XYZ file:
```
18
Lattice="-4.7938 4.9631 5.3121 4.7938 -4.9631 5.3121 4.7938 4.9631 -5.3121" Properties=species:S:1:pos:R:3 pbc="T T T"
Sm 4.7938 2.9332 -2.7916
Sm 2.7525 1.8043 0.0000
Sm 6.8351 1.8043 0.0000
Sm 1.8193 4.9631 -1.8073
Sm 2.9745 0.0000 3.5049
Sm 0.0000 2.0299 2.5205
Sm 4.7938 2.9332 2.7916
Sm 1.8193 4.9631 1.8073
Sm 2.9745 0.0000 7.1194
Sm -2.0413 3.1588 5.3121
Sm 2.0413 3.1588 5.3121
Sm 0.0000 2.0299 8.1038
Tl 0.0000 0.0000 0.0000
Tl 0.0000 0.0000 5.3121
Ir 4.7938 0.0000 1.3676
Ir 0.0000 3.3269 0.0000
Ir 0.0000 6.5992 0.0000
Ir 0.0000 4.9631 3.9446
```

The space-group type is Immm, No. 71. The value obtained for the total moment is 0.00 μB/atom. Its crystal system is orthorhombic. The excess energy over the best structure of this formula in the dataset is 0.0000 eV/atom. For the energy of formation from the pure elements, the calculation gives -506 meV per atom.


Entry 2:
Here is a geometry-optimized Sm6Tl2Ir structure from Alexandria. Energies are from GGA-PBE.

extended XYZ file:
```
9
Lattice="3.9071 0.0000 0.0000 0.0000 7.6478 4.4245 0.0000 -7.6478 4.4245" Properties=species:S:1:pos:R:3 pbc="T T T"
Sm 0.0000 0.0000 0.0000
Sm 0.0000 -1.8332 5.6394
Sm 0.0000 1.8332 5.6394
Sm 1.9536 -4.6302 4.0264
Sm 1.9536 0.0000 3.2042
Sm 1.9536 4.6302 4.0264
Tl 0.0000 -2.5550 2.2807
Tl 0.0000 2.5550 2.2807
Ir 1.9536 0.0000 6.7275
```

The space-group type is Amm2, No. 38. The value obtained for the total moment is 0.00 μB/atom. Its crystal system is orthorhombic. The excess energy over the best structure of this formula in the dataset is 0.0000 eV/atom. For the energy of formation from the pure elements, the calculation gives -388 meV per atom.


Entry 3:
Here is a geometry-optimized Sm6TlIr2 structure from Alexandria. Energies are from GGA-PBE.

extended XYZ file:
```
9
Lattice="5.4356 -2.4664 0.0000 5.4356 2.4664 0.0000 -2.2398 0.0000 9.2051" Properties=species:S:1:pos:R:3 pbc="T T T"
Sm -0.4577 0.0000 3.2085
Sm 1.6273 0.0000 6.1052
Sm 3.4231 0.0000 1.0425
Sm 5.2083 0.0000 8.1627
Sm 7.0040 0.0000 3.0999
Sm 9.0891 0.0000 5.9966
Tl 0.0000 0.0000 0.0000
Ir 3.1814 0.0000 3.7420
Ir 5.4499 0.0000 5.4631
```

The space-group type is C2/m, No. 12. The value obtained for the total moment is 0.00 μB/atom. Its crystal system is monoclinic. The excess energy over the best structure of this formula in the dataset is 0.0862 eV/atom. For the energy of formation from the pure elements, the calculation gives -419 meV per atom.


Entry 4:
Here is a geometry-optimized Sm3TlIr2 structure from Alexandria. Energies are from GGA-PBE.

extended XYZ file:
```
6
Lattice="3.4912 0.0000 0.0000 0.0000 3.4912 0.0000 0.0000 0.0000 12.0836" Properties=species:S:1:pos:R:3 pbc="T T T"
Sm 0.0000 0.0000 0.0000
Sm 0.0000 0.0000 3.4724
Sm 0.0000 0.0000 8.6113
Tl 1.7456 1.7456 6.0418
Ir 1.7456 1.7456 1.8142
Ir 1.7456 1.7456 10.2695
```

The space-group type is P4/mmm, No. 123. The value obtained for the total moment is 0.00 μB/atom. Its crystal system is tetragonal. For the energy of formation from the pure elements, the calculation gives -564 meV per atom.


Entry 5:
Here is a geometry-optimized Sm8Tl2Ir structure from Alexandria. Energies are from GGA-PBE.

extended XYZ file:
```
11
Lattice="9.6979 -2.5964 0.0000 9.6979 2.5964 0.0000 -2.0206 0.0000 6.5707" Properties=species:S:1:pos:R:3 pbc="T T T"
Sm -0.2384 0.0000 1.8858
Sm 2.4406 0.0000 5.3796
Sm 5.7964 0.0000 3.3929
Sm 7.8683 0.0000 0.3669
Sm 9.5070 0.0000 6.2039
Sm 11.5789 0.0000 3.1778
Sm 14.9347 0.0000 1.1911
Sm 17.6136 0.0000 4.6850
Tl 2.9843 0.0000 1.6041
Tl 14.3910 0.0000 4.9666
Ir 8.6876 0.0000 3.2854
```

The space-group type is C2/m, No. 12. The value obtained for the total moment is 0.00 μB/atom. Its crystal system is monoclinic. For the energy of formation from the pure elements, the calculation gives -278 meV per atom.


Entry 6:
Here is a geometry-optimized Sm5TlIr2 structure from Alexandria. Energies are from GGA-PBE.

extended XYZ file:
```
16
Lattice="-3.9678 3.9678 6.9774 3.9678 -3.9678 6.9774 3.9678 3.9678 -6.9774" Properties=species:S:1:pos:R:3 pbc="T T T"
Sm 0.0000 0.0000 0.0000
Sm 5.2504 1.2826 -1.8350
Sm 1.2826 2.6852 -1.8350
Sm 5.2504 1.2826 1.8350
Sm 1.2826 2.6852 1.8350
Sm 0.0000 0.0000 6.9774
Sm 2.6852 1.2826 5.1424
Sm -1.2826 2.6852 5.1424
Sm 2.6852 1.2826 8.8124
Sm -1.2826 2.6852 8.8124
Tl 0.0000 0.0000 3.4887
Tl 0.0000 0.0000 10.4661
Ir 2.8707 1.0970 0.0000
Ir 2.8707 -1.0970 6.9774
Ir 1.0970 5.0648 0.0000
Ir 1.0970 2.8707 6.9774
```

The space-group type is I4/mcm, No. 140. The value obtained for the total moment is 0.00 μB/atom. Its crystal system is tetragonal. For the energy of formation from the pure elements, the calculation gives -575 meV per atom.


Entry 7:
Here is a geometry-optimized Sm3TlIr structure from Alexandria. Energies are from GGA-PBE.

extended XYZ file:
```
20
Lattice="7.4535 0.0000 0.0000 0.0000 4.9140 0.0000 0.0000 0.0000 15.3936" Properties=species:S:1:pos:R:3 pbc="T T T"
Sm 0.0909 1.2285 1.5164
Sm 0.9909 3.6855 7.0414
Sm 1.4462 1.2285 11.1050
Sm 2.2805 3.6855 3.4082
Sm 2.7359 1.2285 14.7382
Sm 3.6359 3.6855 9.2132
Sm 3.8176 1.2285 6.1804
Sm 4.7176 3.6855 0.6554
Sm 5.1730 1.2285 11.9853
Sm 6.0072 3.6855 4.2886
Sm 6.4626 1.2285 8.3522
Sm 7.3626 3.6855 13.8772
Tl 0.6216 1.2285 4.9362
Tl 3.1052 3.6855 12.6330
Tl 4.3483 1.2285 2.7606
Tl 6.8319 3.6855 10.4574
Ir 1.7012 3.6855 0.6808
Ir 2.0255 1.2285 8.3776
Ir 5.4280 3.6855 7.0160
Ir 5.7522 1.2285 14.7128
```

The space-group type is Pnma, No. 62. The value obtained for the total moment is 0.00 μB/atom. Its crystal system is orthorhombic. The excess energy over the best structure of this formula in the dataset is 0.0000 eV/atom. For the energy of formation from the pure elements, the calculation gives -515 meV per atom.


Entry 8:
Here is a geometry-optimized Sm3TlIr structure from Alexandria. Energies are from GGA-PBE.

extended XYZ file:
```
10
Lattice="4.0888 0.0000 0.0000 0.0000 10.6118 0.0000 -2.0432 0.0000 6.9680" Properties=species:S:1:pos:R:3 pbc="T T T"
Sm 0.0067 2.6529 0.8791
Sm 0.0008 0.5175 5.0957
Sm 0.0008 4.7884 5.0957
Sm 2.0449 5.8234 1.8722
Sm 2.0449 10.0942 1.8722
Sm 2.0389 7.9588 6.0889
Tl -0.0083 7.9588 3.5128
Tl 2.0539 2.6529 3.4551
Ir 0.0000 0.0000 0.0000
Ir 0.0000 5.3059 0.0000
```

The space-group type is P2_1/m, No. 11. The value obtained for the total moment is 0.00 μB/atom. Its crystal system is monoclinic. The excess energy over the best structure of this formula in the dataset is 0.0348 eV/atom. For the energy of formation from the pure elements, the calculation gives -481 meV per atom.


Entry 9:
Here is a geometry-optimized Sm6Tl2Ir structure from Alexandria. Energies are from GGA-PBE.

extended XYZ file:
```
18
Lattice="7.1997 0.0000 0.0000 0.0000 7.4920 0.0000 -6.9152 0.0000 10.6679" Properties=species:S:1:pos:R:3 pbc="T T T"
Sm -2.1453 1.4667 4.9199
Sm -5.6029 2.2793 10.2539
Sm -1.2517 5.1404 4.9157
Sm -4.7093 6.0975 10.2497
Sm 0.7342 0.0537 2.6360
Sm -2.7234 3.6923 7.9699
Sm 3.0079 3.7997 2.6980
Sm -0.4497 7.4382 8.0320
Sm 4.9938 1.3944 0.4183
Sm 1.5363 2.3516 5.7522
Sm 5.8874 5.2126 0.4140
Sm 2.4298 6.0253 5.7480
Tl -3.6173 0.5569 7.9690
Tl -0.1597 3.1890 2.6350
Tl 0.4443 4.3029 8.0329
Tl 3.9019 6.9350 2.6990
Ir 0.1423 0.0000 5.3340
Ir 3.5999 3.7460 0.0000
```

The space-group type is P2_1/c, No. 14. The value obtained for the total moment is 0.00 μB/atom. Its crystal system is monoclinic. The excess energy over the best structure of this formula in the dataset is 0.0866 eV/atom. For the energy of formation from the pure elements, the calculation gives -301 meV per atom.


Entry 10:
Here is a geometry-optimized Sm4TlIr structure from Alexandria. Energies are from GGA-PBE.

extended XYZ file:
```
12
Lattice="7.6527 0.0000 0.0000 0.0000 7.1942 0.0000 -0.2480 0.0000 7.0761" Properties=species:S:1:pos:R:3 pbc="T T T"
Sm 1.0042 1.1421 1.2196
Sm 0.8802 2.4550 4.7577
Sm 2.3855 4.6000 0.8458
Sm 2.2615 6.1912 4.3839
Sm 5.1432 1.0029 2.6923
Sm 5.0192 2.5941 6.2303
Sm 6.5245 4.7392 2.3185
Sm 6.4005 6.0520 5.8565
Tl 3.8264 0.0000 0.0000
Tl 3.7023 3.5971 3.5381
Ir -0.1240 0.0000 3.5381
Ir 0.0000 3.5971 0.0000
```

The space-group type is P2_1/c, No. 14. The value obtained for the total moment is 0.00 μB/atom. Its crystal system is monoclinic. The excess energy over the best structure of this formula in the dataset is 0.1750 eV/atom. For the energy of formation from the pure elements, the calculation gives -308 meV per atom.